No. 1
LaOsS2Cl | Alexandria via LeMat-Bulk | PBE | optimized geometry; energy above the lowest structure with this stoichiometry = 0 meV/atom; calculated volume = 105 Å³ per cell; total moment = 0.01 μB per formula unit; raw total energy = -29.383 eV per cell; mass density = 6.80 g/cm3
1.0
4.7085 0.0000 0.0000
0.0000 4.7085 0.0000
0.0000 0.0000 4.7194
S Cl La Os
2 1 1 1
Cartesian
2.3543 0.0000 0.0000
0.0000 2.3543 0.0000
0.0000 0.0000 2.3597
2.3543 2.3543 2.3597
0.0000 0.0000 0.0000

No. 2
K3Zr3AgS8 | Alexandria via LeMat-Bulk | PBE | optimized geometry; calculated volume = 375 Å³ per cell; total moment = 0.00 μB per formula unit; raw total energy = -84.385 eV per cell; mass density = 3.34 g/cm3
1.0
7.6667 0.0023 0.0000
-3.8313 6.6386 -0.0248
-0.0014 -4.3981 7.3896
S Zr K Ag
8 3 3 1
Cartesian
-1.7820 3.2620 5.1048
0.0002 2.2222 2.2113
2.0515 -1.0192 2.2585
3.8340 2.0686 2.2475
5.6160 -1.0191 2.2599
1.7825 3.2620 5.1062
3.8338 0.0206 5.1535
0.0000 0.1743 5.1172
3.8327 -2.1979 3.6948
1.9170 1.1214 3.6824
-1.9164 1.1203 3.6824
0.0000 0.0000 0.0000
-1.9157 3.3193 -0.0124
1.9177 3.3205 -0.0124
-0.0007 -2.1990 3.6948

No. 3
Ac8Si3I4Cl | Alexandria via LeMat-Bulk | PBE | optimized geometry; calculated volume = 580 Å³ per cell; total moment = 0.00 μB per formula unit; raw total energy = -73.022 eV per cell; mass density = 6.99 g/cm3
1.0
-6.0761 4.2436 -5.2416
-7.0776 -5.3268 3.8917
5.2948 4.7936 5.6035
I Si Ac Cl
4 3 8 1
Cartesian
0.0000 0.0000 0.0000
2.6474 2.3968 2.8017
-3.0380 2.1218 -2.6208
-0.3906 4.5186 0.1809
-3.9294 1.8552 2.1268
-6.5768 -0.5416 -0.6749
-0.8914 -0.2666 4.7476
-6.9372 1.6203 1.4931
-3.5956 -0.2482 -0.0671
-6.5532 1.8175 -2.6185
-3.8830 -0.4409 4.1442
-0.9216 2.0901 2.7605
-1.3057 1.8929 6.8721
-3.9759 4.1513 0.1094
-4.2633 3.9585 4.3207
-3.5388 -2.6634 1.9459

No. 4
YSnRu | Alexandria via LeMat-Bulk | PBE | optimized geometry; calculated volume = 65 Å³ per cell; total moment = 0.00 μB per formula unit; raw total energy = -20.971 eV per cell; mass density = 7.85 g/cm3; ΔH_f (0 K) = -1.23 eV per formula unit
1.0
3.5007 0.0000 0.0000
0.0000 4.6419 0.0000
0.0000 -2.3210 4.0200
Ru Y Sn
1 1 1
Cartesian
0.5820 0.0000 0.0000
2.3346 0.0000 2.6800
0.5841 2.3210 1.3400